No. 1
## LiOsI3 (GGA-PBEsol)

Data for a relaxed structure of LiOsI3.

Cell: 5.2053 5.2053 5.2053 Å, 90.00 90.00 90.00°
Closest atoms and distances in Å follow each position.
Sites, in units of the cell vectors:
1 I 0.5000 0.0000 0.0000  2 Li 2.60
2 I 0.0000 0.5000 0.0000  2 Li 2.60
3 Li 0.0000 0.0000 0.0000  6 I 2.60
4 Os 0.5000 0.5000 0.5000  12 I 3.68
5 I 0.0000 0.0000 0.5000  2 Li 2.60

Summary:
Formation energy without anion corrections ... 1.144 eV/atom

***

No. 2
## SrMn4Si (GGA-PBEsol)

Data for a relaxed structure of SrMn4Si.

Cell: 4.8742 4.8742 4.8742 Å, 60.00 60.00 60.00°
Closest atoms and distances in Å follow each position.
Sites, in units of the cell vectors:
1 Si 0.7500 0.7500 0.7500  12 Mn 2.85, 4 Sr 2.98
2 Mn 0.3782 0.3782 0.8654  6 Mn 2.37-2.50
3 Mn 0.8654 0.3782 0.3782  6 Mn 2.37-2.50
4 Mn 0.3782 0.8654 0.3782  6 Mn 2.37-2.50
5 Sr 0.0000 0.0000 0.0000  12 Mn 2.86, 4 Si 2.98
6 Mn 0.3782 0.3782 0.3782  6 Mn 2.37-2.50

Summary:
Formation energy without anion corrections ... 0.618 eV/atom